(1)
Density functional theory data (PBE) for an optimized crystal structure of RbTiGa.

Results
- formation energy (eV/atom) = 0.40
- ΔE to the lowest computed polymorph (eV per atom) = 0.394
- crystal system = orthorhombic
- symmetry = Pnma, No. 62
- total moment (μB per formula unit) = 0.65
- Fermi-level density of states (states/eV/f.u.) = 2.56

Cell: 8.993 3.995 11.319 Å, 90.00 90.00 90.00°
Element x y z (fractional)
Rb  0.037  0.250  0.171
Rb  0.463  0.750  0.671
Rb  0.537  0.250  0.329
Rb  0.963  0.750  0.829
Ti  0.085  0.250  0.533
Ti  0.415  0.750  0.033
Ti  0.585  0.250  0.967
Ti  0.915  0.750  0.467
Ga  0.201  0.750  0.408
Ga  0.299  0.250  0.908
Ga  0.701  0.750  0.092
Ga  0.799  0.250  0.592

***

(2)
Density functional theory data (PBE) for an optimized crystal structure of Li3Al2Pt2.

Results
- formation energy (eV/atom) = -0.77
- crystal system = monoclinic
- symmetry = C2/m, No. 12
- total moment (μB per formula unit) = 0.00
- Fermi-level density of states (states/eV/f.u.) = 2.30

Cell: 4.279 4.279 6.716 Å, 108.49 108.49 59.88°
Element x y z (fractional)
Li  0.000  0.000  0.000
Li  0.143  0.143  0.429
Li  0.857  0.857  0.571
Al  0.284  0.284  0.852
Al  0.716  0.716  0.148
Pt  0.420  0.420  0.260
Pt  0.580  0.580  0.740

***

(3)
Density functional theory data (PBE) for an optimized crystal structure of Tl3Ag2.

Results
- formation energy (eV/atom) = 0.14
- ΔE to the lowest computed polymorph (eV per atom) = 0.029
- crystal system = trigonal
- symmetry = P-3m1, No. 164
- total moment (μB per formula unit) = 0.00
- Fermi-level density of states (states/eV/f.u.) = 1.53

Cell: 4.926 4.926 6.269 Å, 90.00 90.00 120.00°
Element x y z (fractional)
Tl  0.000  0.000  0.000
Tl  0.333  0.667  0.356
Tl  0.667  0.333  0.644
Ag  0.333  0.667  0.843
Ag  0.667  0.333  0.157

***

total moment of number 3 (Tl3Ag2)?
0.00 μB per formula unit

***

Which of these has the highest Fermi-level density of states?
RbTiGa